Entry 1:
DFT (PBE-GGA) results for a relaxed La2AgHRh crystal.

a b c (Å): 5.3405 5.3405 3.6685
angles (deg): 90.00 90.00 90.00
Element x y z (fractional)
La1 0.0000 0.5000 0.0000
H1 0.0000 0.0000 0.0000
La2 0.5000 0.0000 0.0000
Ag1 0.5000 0.5000 0.5000
Rh1 0.0000 0.0000 0.5000

Properties
- density of states at the Fermi level (states/eV/f.u.) = 2.5
- energy (eV/atom) = -5.163



Entry 2:
DFT (PBE-GGA) results for a relaxed LaAgHRh2 crystal.

a b c (Å): 4.3278 4.3278 4.1093
angles (deg): 90.00 90.00 90.00
Element x y z (fractional)
La1 0.5000 0.5000 0.5000
H1 0.0000 0.0000 0.0000
Rh1 0.0000 0.5000 0.0000
Rh2 0.5000 0.0000 0.0000
Ag1 0.0000 0.0000 0.5000

Properties
- density of states at the Fermi level (states/eV/f.u.) = 3.2
- energy (eV/atom) = -5.475



Entry 3:
DFT (PBE-GGA) results for a relaxed La2AgH6Ru crystal.

a b c (Å): 5.4825 5.4832 5.4877
angles (deg): 60.11 60.10 90.39
Element x y z (fractional)
H1 0.7259 0.7257 0.0013
H2 0.2747 0.7253 0.0000
Ag1 0.0000 0.0000 0.0000
H3 0.2751 0.2751 0.4511
La1 0.2500 0.7499 0.5000
La2 0.7500 0.2501 0.5000
H4 0.7253 0.2747 0.0000
H5 0.2741 0.2743 0.9987
H6 0.7249 0.7249 0.5489
Ru1 0.5000 0.5000 0.0000

Properties
- density of states at the Fermi level (states/eV/f.u.) = 4.8
- energy (eV/atom) = -4.608



Entry 4:
DFT (PBE-GGA) results for a relaxed LaAg2SbH crystal.

a b c (Å): 4.5775 4.5775 4.8403
angles (deg): 90.00 90.00 90.00
Element x y z (fractional)
Sb1 0.5000 0.5000 0.5000
H1 0.0000 0.0000 0.0000
Ag1 0.5000 0.0000 0.0000
La1 0.0000 0.0000 0.5000
Ag2 0.0000 0.5000 0.0000

Properties
- density of states at the Fermi level (states/eV/f.u.) = 1.9
- energy (eV/atom) = -3.947



Entry 5:
DFT (PBE-GGA) results for a relaxed La2AgSbH crystal.

a b c (Å): 5.1824 5.1824 4.3189
angles (deg): 90.00 90.00 90.00
Element x y z (fractional)
H1 0.0000 0.0000 0.0000
La1 0.0000 0.5000 0.0000
Ag1 0.0000 0.0000 0.5000
La2 0.5000 0.0000 0.0000
Sb1 0.5000 0.5000 0.5000

Properties
- density of states at the Fermi level (states/eV/f.u.) = 4.0
- energy (eV/atom) = -4.663



Entry 6:
DFT (PBE-GGA) results for a relaxed LaAgSbH crystal.

a b c (Å): 4.4341 4.4341 8.2345
angles (deg): 90.00 90.00 90.00
Element x y z (fractional)
Sb1 0.5000 0.0000 0.7219
La1 0.5000 0.0000 0.1453
H1 0.0000 0.0000 0.0000
H2 0.5000 0.5000 0.0000
Ag1 0.0000 0.0000 0.5000
La2 0.0000 0.5000 0.8547
Ag2 0.5000 0.5000 0.5000
Sb2 0.0000 0.5000 0.2781

Properties
- density of states at the Fermi level (states/eV/f.u.) = 0.3
- energy (eV/atom) = -4.512



Entry 7:
DFT (PBE-GGA) results for a relaxed LaScAgH2 crystal.

a b c (Å): 4.1441 5.7216 4.1441
angles (deg): 90.00 90.00 90.00
Element x y z (fractional)
Ag1 0.0000 0.5000 0.0000
Sc1 0.0000 0.0000 0.0000
H1 0.0000 0.0000 0.5000
H2 0.5000 0.0000 0.0000
La1 0.5000 0.5000 0.5000

Properties
- density of states at the Fermi level (states/eV/f.u.) = 2.5
- energy (eV/atom) = -4.234



Entry 8:
DFT (PBE-GGA) results for a relaxed La2ScAgH crystal.

a b c (Å): 5.2764 5.2764 4.2398
angles (deg): 90.00 90.00 90.00
Element x y z (fractional)
Sc1 0.0000 0.0000 0.5000
La1 0.0000 0.5000 0.0000
H1 0.0000 0.0000 0.0000
La2 0.5000 0.0000 0.0000
Ag1 0.5000 0.5000 0.5000

Properties
- density of states at the Fermi level (states/eV/f.u.) = 5.9
- energy (eV/atom) = -4.627



Entry 9:
DFT (PBE-GGA) results for a relaxed LaSc2AgH crystal.

a b c (Å): 4.6170 4.6170 4.7984
angles (deg): 90.00 90.00 90.00
Element x y z (fractional)
Sc1 0.5000 0.0000 0.0000
Sc2 0.0000 0.5000 0.0000
H1 0.0000 0.0000 0.0000
Ag1 0.5000 0.5000 0.5000
La1 0.0000 0.0000 0.5000

Properties
- density of states at the Fermi level (states/eV/f.u.) = 7.4
- energy (eV/atom) = -4.892



Entry 10:
DFT (PBE-GGA) results for a relaxed La2AgSnH crystal.

a b c (Å): 5.1325 5.1325 4.4230
angles (deg): 90.00 90.00 90.00
Element x y z (fractional)
Ag1 0.0000 0.0000 0.5000
H1 0.0000 0.0000 0.0000
La1 0.5000 0.0000 0.0000
Sn1 0.5000 0.5000 0.5000
La2 0.0000 0.5000 0.0000

Properties
- density of states at the Fermi level (states/eV/f.u.) = 3.0
- energy (eV/atom) = -4.523



Entry 11:
DFT (PBE-GGA) results for a relaxed SrLaAg2H crystal.

a b c (Å): 5.8547 4.1893 5.8547
angles (deg): 90.00 90.00 90.00
Element x y z (fractional)
La1 0.5000 0.5000 0.5000
Sr1 0.0000 0.0000 0.0000
Ag1 0.5000 0.0000 0.0000
H1 0.0000 0.5000 0.0000
Ag2 0.0000 0.0000 0.5000

Properties
- density of states at the Fermi level (states/eV/f.u.) = 3.7
- energy (eV/atom) = -2.963



Entry 12:
DFT (PBE-GGA) results for a relaxed La2TiAgH crystal.

a b c (Å): 5.3455 5.3455 3.9400
angles (deg): 90.00 90.00 90.00
Element x y z (fractional)
H1 0.0000 0.0000 0.0000
Ag1 0.5000 0.5000 0.5000
La1 0.0000 0.5000 0.0000
La2 0.5000 0.0000 0.0000
Ti1 0.0000 0.0000 0.5000

Properties
- density of states at the Fermi level (states/eV/f.u.) = 5.4
- energy (eV/atom) = -4.876